VASP calculation (PBE) on a geometry-optimized MgNiSb structure.

**Raw formation energy**: -0.083 eV per atom
**Space-group type**: No. 107

```
MgNiSb
1.0
6.1269 -0.0497 0.0513
5.3317 3.0171 0.0514
0.7943 0.2059 3.0601
Mg Ni Sb
1 1 1
Direct
0.9710 0.9715 0.0290
0.3305 0.3301 0.6695
0.6986 0.6984 0.3014
```

VASP calculation (PBE) on a geometry-optimized NdErZnPb structure.

**Formation energy from the elements**: -0.368 eV/atom
**Space-group type**: No. 216

```
NdErZnPb
1.0
5.3050 0.0000 0.0000
2.6525 4.5942 0.0000
2.6525 1.5314 4.3315
Pb Zn Nd Er
1 1 1 1
Direct
0.5000 0.5000 0.5000
0.0000 0.0000 0.0000
0.2500 0.2500 0.2500
0.7500 0.7500 0.7500
```

VASP calculation (PBE) on a geometry-optimized NpAlPt2 structure.

**Formation energy from the elements**: -0.732 eV/atom
**Space-group type**: No. 166

```
NpAlPt2
1.0
-3.3046 1.8859 2.0354
-1.1566 -1.3381 3.9359
1.4989 3.3176 3.9337
Np Al Pt
1 1 2
Direct
0.5000 0.5000 0.5000
0.0000 0.0000 0.0000
0.2807 0.2807 0.1580
0.7193 0.7193 0.8420
```

Final energy in eV for the cell shown, matching the order above: -11.7 -15.8 -31.7
Total moment in μB/atom, matching the order above: 0.000 0.000 0.919
Volume in A^3/atom, matching the order above: 19.08 26.39 19.13